This record from Alexandria via LeMat-Bulk describes a geometry-optimized HoCu4Ni structure. The functional is PBEsol.

## Properties
SG: P-6m2
energy of formation from the pure elements: -0.24 eV/atom
DOS at the Fermi energy: 0.53 states/eV per atom
calculated density: 9.62 g/cm3

POSCAR file:
```
HoCu4Ni
1.0
4.020 0.000 0.000
0.000 4.866 0.000
0.000 -2.433 4.214
Ho Cu Ni
1 4 1
Cartesian
0.000 0.000 0.000
0.000 0.000 2.810
2.010 1.222 2.104
2.010 3.644 2.104
2.010 2.433 0.006
0.000 2.433 1.405
```